Density functional theory data (PBE) for a geometry-optimized MgCd2Br6 structure.

Output
Symmetry: C2/m (12)
Crystal system: monoclinic
Total magnetic moment, μB/f.u.: 0.0
Offset from the most stable computed form, eV/atom: 0.0000
Density of states at the Fermi level, states/eV/cell: 0.00
Formation energy (no corrections), meV/atom: -1063

Unit cell a=3.984 b=8.404 c=9.273 alpha=106.35 beta=102.40 gamma=90.00
Fractional positions:
Mg: 0.500 0.000 0.000
Cd: 0.835 0.667 0.670
Cd: 0.165 0.333 0.330
Br: 0.344 0.908 0.687
Br: 0.002 0.223 0.005
Br: 0.672 0.572 0.343
Br: 0.998 0.777 0.995
Br: 0.656 0.092 0.313
Br: 0.328 0.428 0.657

---

Density functional theory data (PBE) for a geometry-optimized ZrSn5 structure.

Output
Symmetry: Cmmm (65)
Crystal system: orthorhombic
Total magnetic moment, μB/f.u.: 0.0
Density of states at the Fermi level, states/eV/cell: 2.72
Energy of formation, eV per atom: -0.083

Unit cell a=4.642 b=4.218 c=8.130 alpha=105.03 beta=90.00 gamma=90.00
Fractional positions:
Sn: 0.000 0.656 0.313
Sn: 0.000 0.344 0.687
Sn: 0.500 0.500 0.000
Sn: 0.500 0.160 0.320
Sn: 0.500 0.840 0.680
Zr: 0.000 0.000 0.000

---

Density functional theory data (PBE) for a geometry-optimized Pr8Sm2Y3 structure.

Output
Symmetry: C2/m (12)
Crystal system: monoclinic
Total magnetic moment, μB/f.u.: 0.0
Offset from the most stable computed form, eV/atom: 0.1271
Density of states at the Fermi level, states/eV/cell: 18.47
Energy of formation, eV per atom: 0.193

Unit cell a=5.792 b=7.771 c=11.100 alpha=110.49 beta=90.02 gamma=90.00
Fractional positions:
Pr: 0.001 0.673 0.345
Pr: 0.999 0.327 0.655
Pr: 0.999 0.132 0.263
Pr: 0.001 0.868 0.737
Pr: 0.500 0.599 0.790
Pr: 0.500 0.191 0.790
Pr: 0.500 0.809 0.210
Pr: 0.500 0.401 0.210
Sm: 0.499 0.240 0.480
Sm: 0.501 0.760 0.520
Y: 0.500 0.000 0.000
Y: 0.000 0.284 0.000
Y: 0.000 0.716 0.000